NbPSe4: optimized geometry, PBE.

a b c (Å): 7.2569 7.2569 7.1273
angles (deg): 91.40 91.40 61.19
Positions (direct):
Nb1 0.2057 0.7943 0.0000
Nb2 0.7943 0.2057 0.0000
P1 0.3073 0.3073 0.8343
P2 0.6927 0.6927 0.1657
Se1 0.1047 0.1047 0.7843
Se2 0.1210 0.6256 0.7069
Se3 0.3744 0.8790 0.2931
Se4 0.3798 0.3798 0.1278
Se5 0.6202 0.6202 0.8722
Se6 0.6256 0.1210 0.7069
Se7 0.8790 0.3744 0.2931
Se8 0.8953 0.8953 0.2157

theoretical density	4.4	Mg/m³
space-group type	No. 12
E_tot	-63.36	eV per cell